No. 1
CuSi2Ru | PBE | relaxed

a b c (Å): 7.7984 7.7984 7.7984
angles (deg): 21.24 21.24 21.24
Positions (direct):
Cu1 0.4949 0.4949 0.4949
Si1 0.9979 0.9979 0.9979
Si2 0.7510 0.7510 0.7510
Ru1 0.2562 0.2562 0.2562

Values from the calculation:
Magnetic moment = 0.00 μB/atom
Offset from the most stable computed form = 0.367 eV/atom
Calculated density = 6.7 g cm⁻³
Formation energy (no corrections) = 84 meV/atom



No. 2
Zr2Tc | PBE | relaxed

a b c (Å): 5.6638 5.6638 7.1786
angles (deg): 68.20 68.20 33.97
Positions (direct):
Zr1 0.1756 0.1756 0.3925
Zr2 0.8244 0.8244 0.6075
Zr3 0.4993 0.4993 0.7799
Zr4 0.5007 0.5007 0.2201
Tc1 0.1730 0.1730 0.9292
Tc2 0.8270 0.8270 0.0708

Values from the calculation:
Magnetic moment = 0.00 μB/atom
Offset from the most stable computed form = 0.119 eV/atom
Calculated density = 7.9 g cm⁻³
ΔE_f = -156 meV per atom



No. 3
OsBrCl2 | PBE | relaxed

a b c (Å): 3.2491 3.2491 11.2268
angles (deg): 90.00 90.00 126.87
Positions (direct):
Br1 0.5000 0.5000 0.7500
Cl1 0.0000 0.0000 0.4162
Cl2 0.0000 0.0000 0.0838
Os1 0.5000 0.5000 0.2500

Values from the calculation:
Magnetic moment = 0.00 μB/atom
Offset from the most stable computed form = 0.409 eV/atom
Calculated density = 6.0 g cm⁻³
Formation energy (no corrections) = 319 meV/atom



No. 4
PmSn6Te8 | PBE | relaxed

a b c (Å): 6.2138 10.2947 10.2948
angles (deg): 120.00 90.00 90.00
Positions (direct):
Te1 0.4358 0.6667 0.3333
Te2 0.2353 0.0021 0.7356
Te3 0.7647 0.9979 0.2644
Te4 0.2353 0.2644 0.2665
Te5 0.7647 0.2665 0.0021
Te6 0.2353 0.7335 0.9979
Te7 0.7647 0.7356 0.7335
Te8 0.5642 0.3333 0.6667
Sn1 0.6685 0.4098 0.3266
Sn2 0.3315 0.5902 0.6734
Sn3 0.3315 0.3266 0.9168
Sn4 0.3316 0.0832 0.4098
Sn5 0.6684 0.9168 0.5902
Sn6 0.6685 0.6734 0.0832
Pm1 0.5000 0.0000 0.0000

Values from the calculation:
Magnetic moment = 0.00 μB/atom
Calculated density = 5.5 g cm⁻³
Formation energy (no corrections) = -360 meV/atom



No. 5
Cs2GaHg4 | PBE | relaxed

a b c (Å): 5.4489 5.4489 10.5723
angles (deg): 75.07 75.07 90.00
Positions (direct):
Ga1 0.0000 0.0000 0.0000
Cs1 0.6463 0.6463 0.7075
Cs2 0.3537 0.3537 0.2925
Hg1 0.5000 0.0000 0.0000
Hg2 0.8449 0.8449 0.3103
Hg3 0.0000 0.5000 0.0000
Hg4 0.1551 0.1551 0.6897

Values from the calculation:
Magnetic moment = 0.00 μB/atom
Calculated density = 6.5 g cm⁻³
ΔE_f = -162 meV per atom



No. 6
MgNi3H | PBE | relaxed

a b c (Å): 2.7395 2.7395 16.3796
angles (deg): 90.00 90.00 120.00
Positions (direct):
Ni1 0.3333 0.6667 0.8726
Ni2 0.6667 0.3333 0.3726
Ni3 0.0000 0.0000 0.2500
Ni4 0.3333 0.6667 0.6274
Ni5 0.6667 0.3333 0.1274
Ni6 0.0000 0.0000 0.7500
H1 0.3333 0.6667 0.7500
H2 0.6667 0.3333 0.2500
Mg1 0.0000 0.0000 0.5000
Mg2 0.0000 0.0000 0.0000

Values from the calculation:
Magnetic moment = 0.00 μB/atom
Offset from the most stable computed form = 0.256 eV/atom
Calculated density = 6.3 g cm⁻³



No. 7
Pm3PrHo4 | PBE | relaxed

a b c (Å): 3.6078 6.2304 11.8368
angles (deg): 100.26 90.00 90.00
Positions (direct):
Pm1 0.0000 0.0000 0.5000
Pm2 0.5000 0.5000 0.5000
Pm3 0.0000 0.5000 0.0000
Ho1 0.5000 0.2498 0.7492
Ho2 0.5000 0.7502 0.2508
Ho3 0.0000 0.2508 0.2509
Ho4 0.0000 0.7492 0.7491
Pr1 0.5000 0.0000 0.0000

Values from the calculation:
Magnetic moment = 0.00 μB/atom
Offset from the most stable computed form = 0.000 eV/atom
Calculated density = 7.8 g cm⁻³
ΔE_f = 16 meV per atom



No. 8
FeTcNi2 | PBE | relaxed

a b c (Å): 4.5104 4.5104 4.5104
angles (deg): 133.46 133.51 67.89
Positions (direct):
Tc1 0.7500 0.2500 0.5000
Fe1 0.2500 0.7500 0.5000
Ni1 0.9999 0.9999 0.0000
Ni2 0.5001 0.5001 0.0000

Values from the calculation:
Magnetic moment = 0.44 μB/atom
Offset from the most stable computed form = 0.051 eV/atom
Calculated density = 9.5 g cm⁻³
ΔE_f = 48 meV per atom



No. 9
K2TlCd3Au4 | PBE | relaxed

a b c (Å): 4.9203 4.9203 11.3792
angles (deg): 90.00 90.00 90.00
Positions (direct):
Cd1 0.0000 0.0000 0.5000
Cd2 0.0000 0.5000 0.1225
Cd3 0.5000 0.0000 0.8775
Tl1 0.5000 0.5000 0.5000
Au1 0.0000 0.5000 0.3648
Au2 0.0000 0.0000 0.0000
Au3 0.5000 0.0000 0.6352
Au4 0.5000 0.5000 0.0000
K1 0.5000 0.0000 0.2366
K2 0.0000 0.5000 0.7634

Values from the calculation:
Magnetic moment = 0.00 μB/atom
Calculated density = 8.5 g cm⁻³
ΔE_f = -216 meV per atom



No. 10
Na3ZnAu | PBE | relaxed

a b c (Å): 7.2310 7.2310 7.1712
angles (deg): 107.89 118.39 102.93
Positions (direct):
Na1 0.2236 0.3939 0.2426
Na2 0.7764 0.6061 0.7574
Na3 0.8488 0.0191 0.2426
Na4 0.7211 0.4440 0.1652
Na5 0.1512 0.9809 0.7574
Na6 0.2789 0.5560 0.8348
Zn1 0.6945 0.0763 0.7708
Zn2 0.3055 0.9237 0.2292
Au1 0.6179 0.7777 0.3956
Au2 0.3821 0.2223 0.6044

Values from the calculation:
Magnetic moment = 0.00 μB/atom
Offset from the most stable computed form = 0.030 eV/atom
Calculated density = 3.9 g cm⁻³
ΔE_f = -112 meV per atom



No. 11
LiAg5S4 | PBE | relaxed

a b c (Å): 3.8342 6.8691 8.3250
angles (deg): 114.39 103.31 90.00
Positions (direct):
Ag1 0.8299 0.1174 0.6598
Ag2 0.8297 0.5429 0.6594
Ag3 0.1701 0.8826 0.3402
Ag4 0.5000 0.5000 0.0000
Ag5 0.1703 0.4571 0.3406
S1 0.0000 0.7510 0.9999
S2 0.3086 0.8088 0.6172
S3 0.0000 0.2490 0.0001
S4 0.6914 0.1912 0.3828
Li1 0.5000 0.0000 0.0000

Values from the calculation:
Magnetic moment = 0.00 μB/atom
Calculated density = 5.8 g cm⁻³
Formation energy (no corrections) = -142 meV/atom



No. 12
Ca3Al2As4 | PBE | relaxed

a b c (Å): 4.1585 6.7321 15.7534
angles (deg): 90.00 90.00 90.00
Positions (direct):
Al1 0.0000 0.1261 0.5825
Al2 0.5000 0.3739 0.0825
Al3 0.5000 0.6261 0.9175
Al4 0.0000 0.8739 0.4175
Ca1 0.0000 0.7081 0.1995
Ca2 0.0000 0.2919 0.8005
Ca3 0.5000 0.5000 0.5000
Ca4 0.5000 0.2081 0.3005
Ca5 0.5000 0.7919 0.6995
Ca6 0.0000 0.0000 0.0000
As1 0.5000 0.2596 0.9314
As2 0.5000 0.7404 0.0686
As3 0.5000 0.2478 0.6628
As4 0.0000 0.7596 0.5686
As5 0.0000 0.2404 0.4314
As6 0.0000 0.2522 0.1628
As7 0.5000 0.7522 0.3372
As8 0.0000 0.7478 0.8372

Values from the calculation:
Magnetic moment = 0.00 μB/atom
Offset from the most stable computed form = 0.000 eV/atom
Calculated density = 3.6 g cm⁻³
ΔE_f = -963 meV per atom



No. 13
RbCo2Br2 | PBE | relaxed

a b c (Å): 8.9164 8.9164 4.3550
angles (deg): 90.00 90.00 90.00
Positions (direct):
Br1 0.1479 0.6479 0.0000
Br2 0.3521 0.1479 0.0000
Br3 0.6479 0.8521 0.0000
Br4 0.8521 0.3521 0.0000
Co1 0.5863 0.9137 0.5000
Co2 0.0863 0.5863 0.5000
Co3 0.9137 0.4137 0.5000
Co4 0.4137 0.0863 0.5000
Rb1 0.5000 0.5000 0.0000
Rb2 0.0000 0.0000 0.0000

Values from the calculation:
Magnetic moment = 0.61 μB/atom
Offset from the most stable computed form = 0.054 eV/atom
Calculated density = 3.5 g cm⁻³
Formation energy (no corrections) = 70 meV/atom



No. 14
LiY8Co2 | PBE | relaxed

a b c (Å): 5.6035 7.7497 7.7497
angles (deg): 113.61 97.18 97.18
Positions (direct):
Y1 0.5835 0.0737 0.3380
Y2 0.0000 0.7545 0.2522
Y3 0.5835 0.3380 0.0737
Y4 0.4166 0.9326 0.6684
Y5 0.2024 0.3916 0.3916
Y6 0.4166 0.6684 0.9326
Y7 0.7972 0.6141 0.6141
Y8 0.0000 0.2522 0.7545
Co1 0.4998 0.3078 0.6983
Co2 0.4998 0.6983 0.3078
Li1 0.0001 0.0027 0.0027

Values from the calculation:
Magnetic moment = 0.00 μB/atom
Calculated density = 4.6 g cm⁻³
ΔE_f = 17 meV per atom